A plane-wave DFT calculation with PBE was carried out for Ce2BeCuPt6 after structural relaxation.

```
Ce2BeCuPt6
1.0
2.792 1.612 6.946
-2.792 1.612 6.946
0.000 -3.224 6.946
Ce Be Cu Pt
2 1 1 6
Cartesian
0.000 0.000 4.364
0.000 0.000 16.473
0.000 0.000 0.000
0.000 0.000 10.418
0.000 -1.583 8.430
-1.371 0.791 8.430
-1.371 -0.791 12.406
1.371 0.791 8.430
1.371 -0.791 12.406
0.000 1.583 12.406
```

Calculated values
DOS at the Fermi energy = 1.18 states/eV per atom
Formation energy from the elements = -0.72 eV/atom

---

A plane-wave DFT calculation with PBE was carried out for V2FeS5 after structural relaxation.

```
V2FeS5
1.0
0.000 6.047 6.075
2.104 0.000 6.075
2.104 6.047 0.000
V Fe S
2 1 5
Cartesian
2.104 6.047 2.292
2.104 6.047 9.859
2.104 6.047 6.075
0.000 0.000 0.000
2.104 4.599 4.173
2.104 7.495 4.173
2.104 4.599 7.978
2.104 7.495 7.978
```

Calculated values
E_form (uncorrected) = -0.4771 eV/atom
DOS at the Fermi energy = 0.70 states/eV per atom

---

A plane-wave DFT calculation with PBE was carried out for InSiMo2 after structural relaxation.

```
InSiMo2
1.0
-1.715 2.375 4.109
1.715 -2.375 4.109
1.715 2.375 -4.109
In Si Mo
1 1 2
Cartesian
0.000 0.000 0.000
0.000 0.000 4.109
1.715 0.000 2.384
0.000 2.375 1.725
```

Calculated values
ΔE to the lowest computed polymorph = 0.140 eV/atom
E_form (uncorrected) = 0.1788 eV/atom
DOS at the Fermi energy = 0.73 states/eV per atom

---

A plane-wave DFT calculation with PBE was carried out for FeAs4Cl after structural relaxation.

```
FeAs4Cl
1.0
0.000 4.008 4.008
4.008 0.000 4.008
4.008 4.008 0.000
Fe As Cl
1 4 1
Cartesian
0.000 0.000 0.000
4.907 3.109 3.109
3.109 4.907 3.109
3.109 3.109 4.907
4.907 4.907 4.907
2.004 2.004 2.004
```

Calculated values
E_form (uncorrected) = 0.5522 eV/atom
DOS at the Fermi energy = 1.10 states/eV per atom

---

A plane-wave DFT calculation with PBE was carried out for AcEuGe after structural relaxation.

```
AcEuGe
1.0
5.008 0.000 0.000
-2.504 4.337 0.000
0.000 0.000 4.558
Ac Eu Ge
1 1 1
Cartesian
0.000 0.000 0.000
0.000 2.891 2.162
2.504 1.446 2.834
```

Calculated values
ΔE to the lowest computed polymorph = 0.120 eV/atom
DOS at the Fermi energy = 2.08 states/eV per atom
Formation energy from the elements = -0.36 eV/atom

---

A plane-wave DFT calculation with PBE was carried out for Ca2AuF after structural relaxation.

```
Ca2AuF
1.0
0.000 3.570 3.570
3.570 0.000 3.570
3.570 3.570 0.000
Ca Au F
2 1 1
Cartesian
1.785 1.785 1.785
5.356 5.356 5.356
0.000 0.000 0.000
3.570 3.570 3.570
```

Calculated values
ΔE to the lowest computed polymorph = 0.335 eV/atom
E_form (uncorrected) = -1.3765 eV/atom
DOS at the Fermi energy = 0.33 states/eV per atom

---

A plane-wave DFT calculation with PBE was carried out for CsTlZn2Br6 after structural relaxation.

```
CsTlZn2Br6
1.0
5.298 -8.263 0.000
5.298 8.263 0.000
-3.934 0.000 9.852
Cs Tl Zn Br
2 2 4 12
Cartesian
2.347 5.395 7.389
4.314 -5.395 2.463
4.314 2.753 2.463
2.347 -2.753 7.389
0.734 1.419 6.823
2.701 -1.419 1.897
3.960 1.419 7.955
5.927 -1.419 3.029
2.085 5.046 3.611
1.950 0.799 1.432
-0.017 -0.799 6.359
6.543 5.046 1.315
2.990 1.786 5.687
1.704 1.786 9.092
4.957 -1.786 0.761
3.671 -1.786 4.165
0.118 -5.046 8.537
6.678 0.799 3.494
4.711 -0.799 8.420
4.576 -5.046 6.241
```

Calculated values
E_form (uncorrected) = -1.0697 eV/atom
DOS at the Fermi energy = 0.00 states/eV per atom

---

A plane-wave DFT calculation with PBE was carried out for NaLi2Sb2 after structural relaxation.

```
NaLi2Sb2
1.0
-2.285 2.285 5.989
2.285 -2.285 5.989
2.285 2.285 -5.989
Na Li Sb
1 2 2
Cartesian
0.000 0.000 0.000
2.285 0.000 2.994
0.000 2.285 2.994
0.000 0.000 4.603
0.000 0.000 7.375
```

Calculated values
ΔE to the lowest computed polymorph = 0.034 eV/atom
E_form (uncorrected) = -0.4107 eV/atom
DOS at the Fermi energy = 0.29 states/eV per atom